Record 1
This record from Alexandria via LeMat-Bulk describes a geometry-optimized AlSi2OsCl structure. The functional is GGA-PBE.

Properties
ΔE_f (raw) = 7.0 eV/f.u.
Magnetic moment = 2.10 μB/cell
DOS(E_F) = 0.73 states/eV/atom

a = 4.778 Å, b = 4.726 Å, c = 4.778 Å
α = 90.00°, β = 90.00°, γ = 90.00°
Last column: magnetic moment on the atom in μB.
Fractional positions:
Si 0.000 0.000 0.500  0.00
Si 0.500 0.000 0.000  0.00
Os 0.000 0.500 0.000  1.68
Al 0.000 0.000 0.000  0.00
Cl 0.500 0.500 0.500  0.15

***

Record 2
This record from Alexandria via LeMat-Bulk describes a geometry-optimized PrPa2S3 structure. The functional is GGA-PBE.

Properties
ΔE_f (raw) = -10.2 eV/f.u.
Magnetic moment = 0.00 μB/cell
DOS(E_F) = 1.44 states/eV/atom

a = 5.592 Å, b = 7.895 Å, c = 11.907 Å
α = 90.00°, β = 90.00°, γ = 89.96°
Fractional positions:
Pr 0.250 0.872 0.079
Pr 0.250 0.372 0.421
Pr 0.750 0.628 0.579
Pr 0.750 0.128 0.921
Pa 0.251 0.875 0.754
Pa 0.251 0.375 0.746
Pa 0.250 0.879 0.416
Pa 0.250 0.379 0.084
Pa 0.750 0.621 0.916
Pa 0.750 0.121 0.584
Pa 0.749 0.625 0.254
Pa 0.749 0.125 0.246
S 0.250 0.635 0.586
S 0.250 0.135 0.914
S 0.250 0.617 0.913
S 0.250 0.117 0.587
S 0.249 0.626 0.252
S 0.249 0.126 0.248
S 0.751 0.874 0.752
S 0.751 0.374 0.748
S 0.750 0.883 0.413
S 0.750 0.383 0.087
S 0.750 0.865 0.086
S 0.750 0.365 0.414

***

Record 3
This record from Alexandria via LeMat-Bulk describes a geometry-optimized PrAlPt structure. The functional is GGA-PBE.

Properties
ΔE_f = -0.949 eV/atom
Magnetic moment = 0.00 μB/cell
DOS(E_F) = 0.66 states/eV/atom

a = 4.043 Å, b = 4.421 Å, c = 4.421 Å
α = 120.00°, β = 90.00°, γ = 90.00°
Fractional positions:
Pr 0.667 0.333 0.667
Al 0.167 0.667 0.333
Pt 0.167 0.000 0.000

***

Record 4
This record from Alexandria via LeMat-Bulk describes a geometry-optimized FeHg structure. The functional is GGA-PBE.

Properties
ΔE_f = 0.511 eV/atom
Magnetic moment = 5.42 μB/cell
DOS(E_F) = 0.61 states/eV/atom

a = 4.003 Å, b = 5.048 Å, c = 4.003 Å
α = 66.64°, β = 90.00°, γ = 113.36°
Last column: magnetic moment on the atom in μB.
Fractional positions:
Fe 0.000 0.000 0.000  2.77
Fe 0.750 0.500 0.750  2.77
Hg 0.500 0.000 0.500  -0.04
Hg 0.250 0.500 0.250  -0.04

***

Record 5
This record from Alexandria via LeMat-Bulk describes a geometry-optimized Lu3Mg2Si3O12 structure. The functional is GGA-PBE.

Properties
ΔE_f (raw) = -61.6 eV/f.u.
Magnetic moment = 0.36 μB/cell
DOS(E_F) = 0.07 states/eV/atom

a = 10.425 Å, b = 10.425 Å, c = 10.425 Å
α = 109.47°, β = 109.47°, γ = 109.47°
Fractional positions:
Lu 0.250 0.375 0.125
Lu 0.750 0.625 0.875
Lu 0.750 0.125 0.375
Lu 0.125 0.250 0.375
Lu 0.375 0.750 0.125
Lu 0.250 0.875 0.625
Lu 0.875 0.750 0.625
Lu 0.625 0.250 0.875
Lu 0.375 0.125 0.250
Lu 0.625 0.875 0.750
Lu 0.125 0.375 0.750
Lu 0.875 0.625 0.250
Mg 0.000 0.000 0.000
Mg 0.500 0.000 0.500
Mg 0.000 0.500 0.500
Mg 0.500 0.000 0.000
Mg 0.500 0.500 0.000
Mg 0.500 0.500 0.500
Mg 0.000 0.000 0.500
Mg 0.000 0.500 0.000
Si 0.250 0.625 0.375
Si 0.750 0.375 0.625
Si 0.750 0.875 0.125
Si 0.375 0.250 0.625
Si 0.625 0.750 0.375
Si 0.250 0.125 0.875
Si 0.125 0.750 0.875
Si 0.875 0.250 0.125
Si 0.625 0.375 0.250
Si 0.375 0.625 0.750
Si 0.875 0.125 0.750
Si 0.125 0.875 0.250
O 0.482 0.378 0.286
O 0.518 0.622 0.714
O 0.592 0.197 0.214
O 0.908 0.122 0.604
O 0.286 0.482 0.378
O 0.303 0.908 0.286
O 0.408 0.803 0.786
O 0.092 0.878 0.396
O 0.714 0.518 0.622
O 0.697 0.092 0.714
O 0.018 0.303 0.896
O 0.214 0.592 0.197
O 0.122 0.018 0.214
O 0.982 0.697 0.104
O 0.786 0.408 0.803
O 0.878 0.982 0.786
O 0.604 0.908 0.122
O 0.197 0.482 0.604
O 0.396 0.092 0.878
O 0.803 0.518 0.396
O 0.896 0.018 0.303
O 0.378 0.592 0.896
O 0.104 0.982 0.697
O 0.622 0.408 0.104
O 0.378 0.286 0.482
O 0.592 0.896 0.378
O 0.622 0.714 0.518
O 0.408 0.104 0.622
O 0.122 0.604 0.908
O 0.018 0.214 0.122
O 0.878 0.396 0.092
O 0.982 0.786 0.878
O 0.303 0.896 0.018
O 0.908 0.286 0.303
O 0.697 0.104 0.982
O 0.092 0.714 0.697
O 0.197 0.214 0.592
O 0.482 0.604 0.197
O 0.803 0.786 0.408
O 0.518 0.396 0.803
O 0.286 0.303 0.908
O 0.714 0.697 0.092
O 0.214 0.122 0.018
O 0.786 0.878 0.982
O 0.896 0.378 0.592
O 0.104 0.622 0.408
O 0.604 0.197 0.482
O 0.396 0.803 0.518

***

Record 6
This record from Alexandria via LeMat-Bulk describes a geometry-optimized CeNd4Cd5 structure. The functional is GGA-PBE.

Properties
ΔE_f = -0.276 eV/atom
Magnetic moment = 3.10 μB/cell
DOS(E_F) = 1.75 states/eV/atom

a = 3.848 Å, b = 3.848 Å, c = 19.293 Å
α = 90.00°, β = 90.00°, γ = 90.00°
Last column: magnetic moment on the atom in μB.
Fractional positions:
Ce 0.000 0.000 0.000  1.04
Nd 0.000 0.000 0.200  0.18
Nd 0.000 0.000 0.400  0.18
Nd 0.000 0.000 0.600  0.18
Nd 0.000 0.000 0.800  0.18
Cd 0.500 0.500 0.700  0.01
Cd 0.500 0.500 0.101  0.02
Cd 0.500 0.500 0.500  0.01
Cd 0.500 0.500 0.899  0.02
Cd 0.500 0.500 0.300  0.01

***

- Among the records above, which one has the lowest DOS(E_F)?
  Lu3Mg2Si3O12

***

- Look up the magnetic moment of the fifth one.
  0.36 μB/cell